No. 1
KCo2Ag PBE optimized geometry; energy = -3.78 eV per atom; energy above the lowest structure with this stoichiometry = 257 meV/atom; spin magnetization = 3.4 μB/f.u.; energy of formation = 0.76 eV/atom
1.0
-1.432 2.697 5.093
1.432 -2.697 5.093
1.432 2.697 -5.093
K Co Ag
1 2 1
direct
0.000 0.000 0.000 K
0.303 0.803 0.500 Co
0.469 0.469 0.000 Co
0.699 0.199 0.500 Ag

No. 2
K2CoAg PBE optimized geometry; energy = -2.28 eV per atom; energy above the lowest structure with this stoichiometry = 239 meV/atom; spin magnetization = 2.0 μB/f.u.; energy of formation = 0.76 eV/atom
1.0
4.058 -4.059 0.000
4.058 4.059 0.000
-0.009 0.000 4.067
K Co Ag
2 1 1
direct
0.000 0.500 0.000 K
0.500 0.000 0.000 K
0.000 0.000 0.500 Co
0.500 0.500 0.500 Ag

No. 3
KCo2Ag PBE optimized geometry; energy = -3.61 eV per atom; energy above the lowest structure with this stoichiometry = 424 meV/atom; spin magnetization = 2.6 μB/f.u.; energy of formation = 0.93 eV/atom
1.0
1.384 0.799 10.135
-1.384 0.799 10.135
0.000 -1.598 10.135
K Co Ag
1 2 1
direct
0.000 0.000 0.000 K
0.241 0.241 0.241 Co
0.759 0.759 0.759 Co
0.500 0.500 0.500 Ag

No. 4
K2CoAg PBE optimized geometry; energy = -2.51 eV per atom; energy above the lowest structure with this stoichiometry = 0 meV/atom; spin magnetization = 1.9 μB/f.u.; energy of formation = 0.52 eV/atom
1.0
3.877 -2.237 0.000
3.877 2.237 0.000
-2.521 0.000 8.765
K Co Ag
2 1 1
direct
0.000 0.000 0.000 K
0.171 0.171 0.527 K
0.753 0.753 0.267 Co
0.418 0.418 0.261 Ag

No. 5
KCo2Ag PBE optimized geometry; energy = -3.79 eV per atom; energy above the lowest structure with this stoichiometry = 238 meV/atom; spin magnetization = 3.6 μB/f.u.; energy of formation = 0.75 eV/atom
1.0
2.868 0.000 0.000
0.000 4.805 0.000
-0.828 0.000 6.416
K Co Ag
1 2 1
direct
0.000 0.000 0.000 K
0.279 0.500 0.631 Co
0.721 0.500 0.369 Co
0.500 0.000 0.500 Ag

No. 6
KCoAg2 PBE optimized geometry; energy = -2.80 eV per atom; energy above the lowest structure with this stoichiometry = 208 meV/atom; spin magnetization = 1.8 μB/f.u.; energy of formation = 0.68 eV/atom
1.0
3.228 -4.352 0.000
3.228 4.352 0.000
0.000 0.000 2.844
K Co Ag
1 1 2
direct
0.000 0.000 0.000 K
0.500 0.500 0.000 Co
0.000 0.500 0.500 Ag
0.500 0.000 0.500 Ag

Please write out number 3 again, unchanged.
KCo2Ag PBE optimized geometry; energy = -3.61 eV per atom; energy above the lowest structure with this stoichiometry = 424 meV/atom; spin magnetization = 2.6 μB/f.u.; energy of formation = 0.93 eV/atom
1.0
1.384 0.799 10.135
-1.384 0.799 10.135
0.000 -1.598 10.135
K Co Ag
1 2 1
direct
0.000 0.000 0.000 K
0.241 0.241 0.241 Co
0.759 0.759 0.759 Co
0.500 0.500 0.500 Ag